Entry 1:
DFT (PBE-GGA) results for an optimized crystal structure of Rb7NaAu2.

```
Rb7NaAu2
1.0
-3.069 3.069 15.389
3.069 -3.069 15.389
3.069 3.069 -15.389
Rb Na Au
7 1 2
direct
0.000 0.000 0.000
0.116 0.616 0.500
0.250 0.750 0.500
0.384 0.884 0.500
0.616 0.116 0.500
0.750 0.250 0.500
0.884 0.384 0.500
0.500 0.500 0.000
0.181 0.181 0.000
0.819 0.819 0.000
```

For the volume, the calculation gives 57.99 Å³/atom. The magnetization comes out at 0.00 μB per atom. Its formation energy is -0.093 eV/atom.


Entry 2:
DFT (PBE-GGA) results for an optimized crystal structure of HfNpSn.

```
HfNpSn
1.0
4.371 -2.518 0.000
4.371 2.518 0.000
-2.967 0.000 6.795
Hf Np Sn
2 2 2
direct
0.138 0.138 0.414
0.862 0.862 0.586
0.441 0.441 0.327
0.559 0.559 0.673
0.288 0.288 0.856
0.712 0.712 0.144
```

For the volume, the calculation gives 24.93 Å³/atom. The magnetization comes out at 0.75 μB per atom. Its formation energy is 0.221 eV/atom.


Entry 3:
DFT (PBE-GGA) results for an optimized crystal structure of LiPmI4.

```
LiPmI4
1.0
8.615 -2.226 0.000
8.615 2.226 0.000
-3.269 0.000 6.883
Li Pm I
1 1 4
direct
0.000 0.000 0.000
0.500 0.500 0.500
0.118 0.118 0.453
0.394 0.394 0.058
0.606 0.606 0.942
0.882 0.882 0.547
```

The calculation puts the energy above the most stable polymorph in this dataset at 0.0 kJ per mole of atoms. For the volume, the calculation gives 43.99 Å³/atom. The magnetization comes out at 0.00 μB per atom. The value obtained for the raw formation energy is -1326 meV/atom.


Entry 4:
DFT (PBE-GGA) results for an optimized crystal structure of BAsPC.

```
BAsPC
1.0
2.981 -1.579 0.000
2.981 1.579 0.000
-0.587 0.000 6.453
B As P C
1 1 1 1
direct
0.000 0.000 0.000
0.624 0.624 0.600
0.329 0.329 0.040
0.130 0.130 0.792
```

The calculation puts the energy above the most stable polymorph in this dataset at 20.0 kJ per mole of atoms. For the volume, the calculation gives 15.18 Å³/atom. The magnetization comes out at 0.00 μB per atom. Its formation energy is 0.476 eV/atom.


Entry 5:
DFT (PBE-GGA) results for an optimized crystal structure of Ba2LaNbN4.

```
Ba2LaNbN4
1.0
-3.572 3.737 5.258
3.572 -3.737 5.258
3.572 3.737 -5.258
Ba La Nb N
4 2 2 8
direct
0.000 0.000 0.000
0.500 0.000 0.000
0.500 0.000 0.500
0.500 0.500 0.500
0.000 0.500 0.500
0.500 0.500 0.000
0.000 0.000 0.500
0.000 0.500 0.000
0.194 0.744 0.450
0.203 0.223 0.520
0.203 0.683 0.980
0.206 0.256 0.950
0.794 0.744 0.050
0.797 0.317 0.020
0.797 0.777 0.480
0.806 0.256 0.550
```

For the volume, the calculation gives 17.55 Å³/atom. The magnetization comes out at 0.00 μB per atom. The value obtained for the raw formation energy is -701 meV/atom.


Entry 6:
DFT (PBE-GGA) results for an optimized crystal structure of HfScAg2.

```
HfScAg2
1.0
0.000 3.422 3.422
3.422 0.000 3.422
3.422 3.422 0.000
Hf Sc Ag
1 1 2
direct
0.000 0.000 0.000
0.500 0.500 0.500
0.250 0.250 0.250
0.750 0.750 0.750
```

The calculation puts the energy above the most stable polymorph in this dataset at 2.0 kJ per mole of atoms. For the volume, the calculation gives 20.04 Å³/atom. The magnetization comes out at 0.00 μB per atom. Its formation energy is -0.056 eV/atom.


Entry 7:
DFT (PBE-GGA) results for an optimized crystal structure of Cs3BaGe2Cl9.

```
Cs3BaGe2Cl9
1.0
7.800 0.000 0.000
-3.900 6.755 0.000
0.000 0.000 9.952
Cs Ba Ge Cl
3 1 2 9
direct
0.000 0.000 0.000
0.333 0.667 0.713
0.667 0.333 0.287
0.000 0.000 0.500
0.333 0.667 0.157
0.667 0.333 0.843
0.000 0.500 0.000
0.175 0.351 0.311
0.175 0.825 0.311
0.351 0.175 0.689
0.500 0.000 0.000
0.500 0.500 0.000
0.649 0.825 0.311
0.825 0.175 0.689
0.825 0.649 0.689
```

For the volume, the calculation gives 34.96 Å³/atom. The magnetization comes out at 0.00 μB per atom. The value obtained for the raw formation energy is -1630 meV/atom.


Entry 8:
DFT (PBE-GGA) results for an optimized crystal structure of UZnCuPt.

```
UZnCuPt
1.0
0.000 3.295 3.295
3.295 0.000 3.295
3.295 3.295 0.000
U Zn Cu Pt
1 1 1 1
direct
0.000 0.000 0.000
0.500 0.500 0.500
0.250 0.250 0.250
0.750 0.750 0.750
```

For the volume, the calculation gives 17.88 Å³/atom. The magnetization comes out at 0.52 μB per atom. Its formation energy is -0.196 eV/atom.


Entry 9:
DFT (PBE-GGA) results for an optimized crystal structure of Tl3PbBr5.

```
Tl3PbBr5
1.0
8.665 0.000 0.000
0.000 9.220 0.000
0.000 0.000 15.652
Tl Pb Br
12 4 20
direct
0.063 0.086 0.284
0.086 0.167 0.978
0.229 0.705 0.051
0.271 0.295 0.551
0.414 0.833 0.478
0.437 0.914 0.784
0.563 0.414 0.716
0.586 0.333 0.022
0.729 0.795 0.949
0.771 0.205 0.449
0.914 0.667 0.522
0.937 0.586 0.216
0.077 0.549 0.794
0.423 0.451 0.294
0.577 0.951 0.206
0.923 0.049 0.706
0.075 0.996 0.526
0.086 0.854 0.865
0.102 0.443 0.389
0.221 0.213 0.774
0.233 0.348 0.149
0.267 0.652 0.649
0.279 0.787 0.274
0.398 0.557 0.889
0.414 0.146 0.365
0.425 0.004 0.026
0.575 0.504 0.474
0.586 0.646 0.135
0.602 0.057 0.611
0.721 0.287 0.226
0.733 0.152 0.851
0.767 0.848 0.351
0.779 0.713 0.726
0.898 0.943 0.111
0.914 0.354 0.635
0.925 0.496 0.974
```

The calculation puts the energy above the most stable polymorph in this dataset at 0.0 kJ per mole of atoms. For the volume, the calculation gives 34.73 Å³/atom. The magnetization comes out at 0.00 μB per atom. The value obtained for the raw formation energy is -876 meV/atom.


Entry 10:
DFT (PBE-GGA) results for an optimized crystal structure of CrCdHCl2.

```
CrCdHCl2
1.0
5.235 0.000 0.000
0.000 5.235 0.000
0.000 0.000 5.717
Cr Cd H Cl
1 1 1 2
direct
0.000 0.000 0.000
0.000 0.000 0.500
0.500 0.500 0.000
0.000 0.500 0.500
0.500 0.000 0.500
```

For the volume, the calculation gives 31.34 Å³/atom. The magnetization comes out at 1.30 μB per atom.


Entry 11:
DFT (PBE-GGA) results for an optimized crystal structure of KTc2HPd.

```
KTc2HPd
1.0
5.400 0.000 0.000
0.000 5.400 0.000
0.000 0.000 3.005
K Tc H Pd
1 2 1 1
direct
0.000 0.000 0.000
0.000 0.500 0.500
0.500 0.000 0.500
0.500 0.500 0.000
0.500 0.500 0.500
```

For the volume, the calculation gives 17.52 Å³/atom. The magnetization comes out at 0.00 μB per atom.


Entry 12:
DFT (PBE-GGA) results for an optimized crystal structure of MgGeP.

```
MgGeP
1.0
3.483 0.000 0.000
-1.742 3.016 0.000
0.000 0.000 11.053
Mg Ge P
2 2 2
direct
0.000 0.000 0.197
0.000 0.000 0.803
0.000 0.000 0.500
0.333 0.667 0.000
0.333 0.667 0.355
0.333 0.667 0.645
```

The calculation puts the energy above the most stable polymorph in this dataset at 34.5 kJ per mole of atoms. For the volume, the calculation gives 19.35 Å³/atom. The magnetization comes out at 0.00 μB per atom. Its formation energy is 0.049 eV/atom.


Entry 13:
DFT (PBE-GGA) results for an optimized crystal structure of InMo2Br.

```
InMo2Br
1.0
3.577 0.000 0.000
0.000 3.577 0.000
0.000 0.000 6.743
In Mo Br
1 2 1
direct
0.000 0.000 0.000
0.500 0.500 0.175
0.500 0.500 0.825
0.000 0.000 0.500
```

The calculation puts the energy above the most stable polymorph in this dataset at 48.5 kJ per mole of atoms. For the volume, the calculation gives 21.57 Å³/atom. The magnetization comes out at 0.00 μB per atom. The value obtained for the raw formation energy is 768 meV/atom.


Entry 14:
DFT (PBE-GGA) results for an optimized crystal structure of CeSmCdAg.

```
CeSmCdAg
1.0
0.000 3.777 3.777
3.777 0.000 3.777
3.777 3.777 0.000
Ce Sm Cd Ag
1 1 1 1
direct
0.000 0.000 0.000
0.500 0.500 0.500
0.750 0.750 0.750
0.250 0.250 0.250
```

For the volume, the calculation gives 26.94 Å³/atom. The magnetization comes out at 0.35 μB per atom. Its formation energy is -0.163 eV/atom.


Entry 15:
DFT (PBE-GGA) results for an optimized crystal structure of PuIn4IrPd2.

```
PuIn4IrPd2
1.0
2.291 1.323 9.278
-2.291 1.323 9.278
0.000 -2.645 9.278
Pu In Ir Pd
1 4 1 2
direct
0.000 0.000 0.000
0.132 0.132 0.132
0.398 0.398 0.398
0.602 0.602 0.602
0.868 0.868 0.868
0.500 0.500 0.500
0.237 0.237 0.237
0.763 0.763 0.763
```

For the volume, the calculation gives 21.08 Å³/atom. The magnetization comes out at 0.69 μB per atom. Its formation energy is -0.254 eV/atom.


Entry 16:
DFT (PBE-GGA) results for an optimized crystal structure of ReAgBr2.

```
ReAgBr2
1.0
3.345 -4.263 0.000
3.345 4.263 0.000
0.000 0.000 3.226
Re Ag Br
1 1 2
direct
0.000 0.000 0.000
0.500 0.500 0.000
0.000 0.500 0.000
0.500 0.000 0.000
```

The calculation puts the energy above the most stable polymorph in this dataset at 53.5 kJ per mole of atoms. For the volume, the calculation gives 23.00 Å³/atom. The magnetization comes out at 0.66 μB per atom. The value obtained for the raw formation energy is 993 meV/atom.


Entry 17:
DFT (PBE-GGA) results for an optimized crystal structure of Tb2Nd12Dy5.

```
Tb2Nd12Dy5
1.0
9.007 -5.883 0.000
9.007 5.883 0.000
-1.361 0.000 6.103
Tb Nd Dy
2 12 5
direct
0.229 0.771 0.000
0.771 0.229 0.000
0.061 0.545 0.801
0.121 0.121 0.000
0.146 0.647 0.384
0.353 0.854 0.616
0.444 0.444 0.727
0.455 0.939 0.199
0.545 0.061 0.801
0.556 0.556 0.273
0.647 0.146 0.384
0.854 0.353 0.616
0.879 0.879 0.000
0.939 0.455 0.199
0.000 0.000 0.500
0.215 0.215 0.552
0.322 0.322 0.141
0.678 0.678 0.859
0.785 0.785 0.448
```

The calculation puts the energy above the most stable polymorph in this dataset at 0.0 kJ per mole of atoms. For the volume, the calculation gives 34.04 Å³/atom. The magnetization comes out at 0.00 μB per atom. Its formation energy is 0.098 eV/atom.


Entry 18:
DFT (PBE-GGA) results for an optimized crystal structure of Ce5GaRu4.

```
Ce5GaRu4
1.0
7.740 0.000 0.000
0.000 7.875 0.000
0.000 0.000 7.575
Ce Ga Ru
10 2 8
direct
0.001 0.001 0.236
0.001 0.499 0.236
0.250 0.250 0.502
0.499 0.001 0.236
0.499 0.499 0.236
0.501 0.501 0.764
0.501 0.999 0.764
0.750 0.750 0.498
0.999 0.501 0.764
0.999 0.999 0.764
0.250 0.750 0.001
0.750 0.250 0.999
0.072 0.750 0.500
0.250 0.076 0.997
0.250 0.424 0.997
0.428 0.750 0.500
0.572 0.250 0.500
0.750 0.576 0.003
0.750 0.924 0.003
0.928 0.250 0.500
```

For the volume, the calculation gives 23.09 Å³/atom. The magnetization comes out at 0.00 μB per atom. Its formation energy is -0.265 eV/atom.


Entry 19:
DFT (PBE-GGA) results for an optimized crystal structure of RbMnHSe2.

```
RbMnHSe2
1.0
2.750 -6.612 0.000
2.750 6.612 0.000
0.000 0.000 6.060
Rb Mn H Se
2 2 2 4
direct
0.250 0.750 0.751
0.750 0.250 0.249
0.250 0.250 0.500
0.750 0.750 0.500
0.000 0.000 0.000
0.500 0.500 0.000
0.083 0.917 0.238
0.417 0.583 0.238
0.583 0.417 0.762
0.917 0.083 0.762
```

For the volume, the calculation gives 22.04 Å³/atom. The magnetization comes out at 0.38 μB per atom.


Entry 20:
DFT (PBE-GGA) results for an optimized crystal structure of LiErLuTl.

```
LiErLuTl
1.0
0.000 3.680 3.680
3.680 0.000 3.680
3.680 3.680 0.000
Li Er Lu Tl
1 1 1 1
direct
0.000 0.000 0.000
0.750 0.750 0.750
0.250 0.250 0.250
0.500 0.500 0.500
```

For the volume, the calculation gives 24.92 Å³/atom. The magnetization comes out at 0.00 μB per atom. Its formation energy is -0.167 eV/atom.


| no. | raw total energy (eV per cell) |
| --- | --- |
| 1 | -15.58 |
| 2 | -52.47 |
| 3 | -20.82 |
| 4 | -24.06 |
| 5 | -115.50 |
| 6 | -22.21 |
| 7 | -54.79 |
| 8 | -23.48 |
| 9 | -108.23 |
| 10 | -14.41 |
| 11 | -21.91 |
| 12 | -22.95 |
| 13 | -23.00 |
| 14 | -15.07 |
| 15 | -46.56 |
| 16 | -14.67 |
| 17 | -87.63 |
| 18 | -144.91 |
| 19 | -44.95 |
| 20 | -14.03 |